Entry 1:
Entry from Alexandria: a relaxed structure of Nd6Ho5Sc2 (PBE-GGA).

energy	-4.783	eV/atom
energy of formation from the pure elements	0.152	eV/atom
total magnetization	0.00	μB/f.u.

```
data_Nd6Ho5Sc2
_cell_length_a 10.8404
_cell_length_b 22.4863
_cell_length_c 3.4966
_cell_angle_alpha 90.00
_cell_angle_beta 90.00
_cell_angle_gamma 90.00
_space_group_name_H-M_alt 'P b a m'
_space_group_IT_number 55
loop_
_space_group_symop_operation_xyz
'x,y,z'
'-x,-y,-z'
'-x,-y,z'
'x,y,-z'
'x+1/2,-y+1/2,-z'
'-x+1/2,y+1/2,z'
'-x+1/2,y+1/2,-z'
'x+1/2,-y+1/2,z'
loop_
_atom_site_label
_atom_site_fract_x
_atom_site_fract_y
_atom_site_fract_z
Nd1 0.0342 0.1126 0.0000
Nd2 0.1366 0.3842 0.0000
Nd3 0.1655 0.6402 0.5000
Ho1 0.0000 0.5000 0.5000
Ho2 0.0854 0.2493 0.5000
Ho3 0.1650 0.9912 0.5000
Sc1 0.1648 0.7748 0.0000
```

=====

Entry 2:
Entry from Alexandria: a relaxed structure of SrSn3Pd2 (PBE-GGA).

energy	-4.522	eV/atom
energy of formation from the pure elements	-0.510	eV/atom
total magnetization	0.00	μB/f.u.

```
data_SrSn3Pd2
_cell_length_a 10.6272
_cell_length_b 8.8474
_cell_length_c 6.1343
_cell_angle_alpha 90.00
_cell_angle_beta 90.00
_cell_angle_gamma 90.00
_space_group_name_H-M_alt 'C m c m'
_space_group_IT_number 63
_space_group_name_Hall '-C 2c 2'
loop_
_atom_site_label
_atom_site_fract_x
_atom_site_fract_y
_atom_site_fract_z
Sr1 0.0000 0.1381 0.2500
Sn1 0.0000 0.4910 0.7500
Sn2 0.1729 0.2264 0.7500
Pd1 0.2299 0.5000 0.0000
```

=====

Entry 3:
Entry from Alexandria: a relaxed structure of Pt2IF (PBE-GGA).

energy	-3.694	eV/atom
energy relative to the elements, uncorrected	0.182	eV/atom
total magnetization	0.00	μB/f.u.

```
data_Pt2IF
_cell_length_a 7.0372
_cell_length_b 7.0372
_cell_length_c 5.7087
_cell_angle_alpha 90.00
_cell_angle_beta 90.00
_cell_angle_gamma 90.00
_space_group_name_H-M_alt 'I -4 2 d'
_space_group_IT_number 122
_space_group_name_Hall 'I -4 2bw'
loop_
_atom_site_label
_atom_site_fract_x
_atom_site_fract_y
_atom_site_fract_z
Pt1 0.2302 0.2500 0.1250
I1 0.0000 0.0000 0.5000
F1 0.0000 0.0000 0.0000
```

=====

Entry 4:
Entry from Alexandria: a relaxed structure of Fe2CoSe (PBE-GGA).

energy	-6.646	eV/atom
energy relative to the elements, uncorrected	0.233	eV/atom
total magnetization	6.15	μB/f.u.

```
data_Fe2CoSe
_cell_length_a 5.8503
_cell_length_b 5.8503
_cell_length_c 5.8503
_cell_angle_alpha 90.00
_cell_angle_beta 90.00
_cell_angle_gamma 90.00
_space_group_name_H-M_alt 'F -4 3 m'
_space_group_IT_number 216
_space_group_name_Hall 'F -4 2 3'
loop_
_atom_site_label
_atom_site_fract_x
_atom_site_fract_y
_atom_site_fract_z
Fe1 0.0000 0.0000 0.0000
Fe2 0.2500 0.2500 0.2500
Co1 0.0000 0.0000 0.5000
Se1 0.2500 0.2500 0.7500
```

=====

Entry 5:
Entry from Alexandria: a relaxed structure of Rb2AgF3 (PBE-GGA).

energy	-3.832	eV/atom
energy relative to the elements, uncorrected	-2.099	eV/atom
total magnetization	0.00	μB/f.u.

```
data_Rb2AgF3
_cell_length_a 8.7419
_cell_length_b 3.8951
_cell_length_c 14.7440
_cell_angle_alpha 90.00
_cell_angle_beta 90.00
_cell_angle_gamma 90.00
_space_group_name_H-M_alt 'P n m a'
_space_group_IT_number 62
loop_
_space_group_symop_operation_xyz
'x,y,z'
'-x,-y,-z'
'-x+1/2,-y,z+1/2'
'x+1/2,y,-z+1/2'
'x+1/2,-y+1/2,-z+1/2'
'-x+1/2,y+1/2,z+1/2'
'-x,y+1/2,-z'
'x,-y+1/2,z'
loop_
_atom_site_label
_atom_site_fract_x
_atom_site_fract_y
_atom_site_fract_z
Rb1 0.1232 0.2500 0.2230
Rb2 0.1796 0.2500 0.9401
Ag1 0.0889 0.2500 0.5930
F1 0.0850 0.2500 0.4200
F2 0.1281 0.2500 0.7524
F3 0.1374 0.7500 0.0749
```

=====

Entry 6:
Entry from Alexandria: a relaxed structure of LiTlRhPb2 (PBE-GGA).

energy	-3.839	eV/atom
energy of formation from the pure elements	-0.029	eV/atom
total magnetization	0.00	μB/f.u.

```
data_LiTlRhPb2
_cell_length_a 5.2430
_cell_length_b 5.2430
_cell_length_c 4.9506
_cell_angle_alpha 90.00
_cell_angle_beta 90.00
_cell_angle_gamma 90.00
_space_group_name_H-M_alt 'P 4/m m m'
_space_group_IT_number 123
_space_group_name_Hall '-P 4 2'
loop_
_atom_site_label
_atom_site_fract_x
_atom_site_fract_y
_atom_site_fract_z
Li1 0.0000 0.0000 0.0000
Tl1 0.5000 0.5000 0.0000
Rh1 0.0000 0.0000 0.5000
Pb1 0.0000 0.5000 0.5000
```

=====

Entry 7:
Entry from Alexandria: a relaxed structure of CaAc2Ta (PBE-GGA).

energy	-4.617	eV/atom
energy of formation from the pure elements	0.900	eV/atom
total magnetization	0.00	μB/f.u.

```
data_CaAc2Ta
_cell_length_a 3.5215
_cell_length_b 3.5215
_cell_length_c 38.7466
_cell_angle_alpha 90.00
_cell_angle_beta 90.00
_cell_angle_gamma 120.00
_space_group_name_H-M_alt 'R -3 m'
_space_group_IT_number 166
_space_group_name_Hall '-R 3 2"'
loop_
_atom_site_label
_atom_site_fract_x
_atom_site_fract_y
_atom_site_fract_z
Ca1 0.0000 0.0000 0.0000
Ac1 0.0000 0.0000 0.4217
Ta1 0.0000 0.0000 0.5000
```

=====

Entry 8:
Entry from Alexandria: a relaxed structure of Ca3MgP (PBE-GGA).

energy	-3.132	eV/atom
energy of formation from the pure elements	-0.530	eV/atom
total magnetization	0.29	μB/f.u.

```
data_Ca3MgP
_cell_length_a 5.7931
_cell_length_b 9.4604
_cell_length_c 5.7930
_cell_angle_alpha 90.00
_cell_angle_beta 90.00
_cell_angle_gamma 90.00
_space_group_name_H-M_alt 'P m n 21'
_space_group_IT_number 31
loop_
_space_group_symop_operation_xyz
'x,y,z'
'-x+1/2,-y,z+1/2'
'-x,y,z'
'x+1/2,-y,z+1/2'
loop_
_atom_site_label
_atom_site_fract_x
_atom_site_fract_y
_atom_site_fract_z
Ca1 0.0000 0.9999 0.0003
Ca2 0.0000 0.2922 0.5000
Ca3 0.0000 0.7068 0.5001
Mg1 0.0000 0.4998 0.9992
P1 0.0000 0.9994 0.5003
```

=====

Entry 9:
Entry from Alexandria: a relaxed structure of La12Ir6Rh (PBE-GGA).

energy	-6.941	eV/atom
energy of formation from the pure elements	-0.644	eV/atom
total magnetization	0.00	μB/f.u.

```
data_La12Ir6Rh
_cell_length_a 12.9238
_cell_length_b 12.9238
_cell_length_c 12.1582
_cell_angle_alpha 90.00
_cell_angle_beta 90.00
_cell_angle_gamma 120.00
_space_group_name_H-M_alt 'R -3'
_space_group_IT_number 148
_space_group_name_Hall '-R 3'
loop_
_atom_site_label
_atom_site_fract_x
_atom_site_fract_y
_atom_site_fract_z
La1 0.0232 0.2143 0.3927
La2 0.0359 0.2065 0.8830
Ir1 0.0450 0.2644 0.6495
Rh1 0.0000 0.0000 0.0000
```

=====

Entry 10:
Entry from Alexandria: a relaxed structure of TaCr2Cd (PBE-GGA).

energy	-7.669	eV/atom
energy of formation from the pure elements	0.335	eV/atom
total magnetization	4.31	μB/f.u.

```
data_TaCr2Cd
_cell_length_a 3.1694
_cell_length_b 3.1694
_cell_length_c 6.5269
_cell_angle_alpha 90.00
_cell_angle_beta 90.00
_cell_angle_gamma 90.00
_space_group_name_H-M_alt 'P 4/m m m'
_space_group_IT_number 123
_space_group_name_Hall '-P 4 2'
loop_
_atom_site_label
_atom_site_fract_x
_atom_site_fract_y
_atom_site_fract_z
Ta1 0.0000 0.0000 0.0000
Cr1 0.5000 0.5000 0.2252
Cd1 0.0000 0.0000 0.5000
```

=====

Entry 11:
Entry from Alexandria: a relaxed structure of KNaAsS2 (PBE-GGA).

energy	-3.575	eV/atom
energy relative to the elements, uncorrected	-0.511	eV/atom
total magnetization	0.00	μB/f.u.

```
data_KNaAsS2
_cell_length_a 6.1550
_cell_length_b 12.4527
_cell_length_c 6.0884
_cell_angle_alpha 90.00
_cell_angle_beta 90.00
_cell_angle_gamma 90.00
_space_group_name_H-M_alt 'C m m e'
_space_group_IT_number 67
_space_group_name_Hall '-C 2a 2'
loop_
_atom_site_label
_atom_site_fract_x
_atom_site_fract_y
_atom_site_fract_z
K1 0.0000 0.2500 0.2362
Na1 0.2500 0.0000 0.5000
As1 0.0000 0.0000 0.0000
S1 0.0000 0.1565 0.7391
```

=====

Entry 12:
Entry from Alexandria: a relaxed structure of NdAlPdAu (PBE-GGA).

energy	-5.017	eV/atom
energy of formation from the pure elements	-0.772	eV/atom
total magnetization	0.00	μB/f.u.

```
data_NdAlPdAu
_cell_length_a 4.4915
_cell_length_b 4.4915
_cell_length_c 14.5500
_cell_angle_alpha 90.00
_cell_angle_beta 90.00
_cell_angle_gamma 120.00
_space_group_name_H-M_alt 'R 3 m'
_space_group_IT_number 160
_space_group_name_Hall 'R 3 -2"'
loop_
_atom_site_label
_atom_site_fract_x
_atom_site_fract_y
_atom_site_fract_z
Nd1 0.0000 0.0000 0.0000
Al1 0.0000 0.0000 0.5111
Pd1 0.0000 0.0000 0.2111
Au1 0.0000 0.0000 0.7873
```